No. 1
# Pr4Dy3Se8, optimized geometry, DFT GGA-PBE
# * DOS at the Fermi energy: 13.0 states/eV/cell
# * mass density: 6.8 g/cm3
# * total magnetic moment: 0.000 Bohr magnetons per cell
# * ΔE_f (raw): -1.836 eV per atom
# * raw total energy: -5.889 eV/atom
# * energy above the lowest structure with this stoichiometry: 0.0 meV per atom
# * crystal system: monoclinic
data_Pr4Dy3Se8
_chemical_formula_sum 'Pr8 Dy6 Se16'
_cell_length_a 11.777
_cell_length_b 11.785
_cell_length_c 8.322
_cell_angle_alpha 90.00
_cell_angle_beta 134.89
_cell_angle_gamma 90.00
_symmetry_space_group_name_H-M 'C 1 2/m 1'
_symmetry_Int_Tables_number 12
_symmetry_space_group_name_Hall '-C 2y'
loop_
_atom_site_label
_atom_site_fract_x
_atom_site_fract_y
_atom_site_fract_z
_atom_site_occupancy
Pr1 0.000 0.000 0.000 1
Pr2 0.000 0.500 0.500 1
Pr3 0.250 0.250 0.000 1
Dy1 0.000 0.500 0.000 1
Dy2 0.250 0.250 0.500 1
Se1 0.000 0.243 0.500 1
Se2 0.000 0.255 0.000 1
Se3 0.248 0.000 0.511 1
Se4 0.249 0.000 0.987 1

=====

No. 2
# Pr2Dy2Se5, optimized geometry, DFT GGA-PBE
# * DOS at the Fermi energy: 14.0 states/eV/cell
# * mass density: 6.1 g/cm3
# * total magnetic moment: 0.000 Bohr magnetons per cell
# * ΔE_f (raw): -1.649 eV per atom
# * raw total energy: -5.670 eV/atom
# * energy above the lowest structure with this stoichiometry: 114.7 meV per atom
# * crystal system: orthorhombic
data_Pr2Dy2Se5
_chemical_formula_sum 'Pr8 Dy8 Se20'
_cell_length_a 18.099
_cell_length_b 8.269
_cell_length_c 7.234
_cell_angle_alpha 90.00
_cell_angle_beta 90.00
_cell_angle_gamma 90.00
_symmetry_space_group_name_H-M 'I m a 2'
_symmetry_Int_Tables_number 46
_symmetry_space_group_name_Hall 'I 2 -2a'
loop_
_atom_site_label
_atom_site_fract_x
_atom_site_fract_y
_atom_site_fract_z
_atom_site_occupancy
Pr1 0.094 0.068 0.000 1
Dy1 0.000 0.000 0.532 1
Dy2 0.250 0.603 0.972 1
Se1 0.031 0.713 0.740 1
Se2 0.147 0.104 0.609 1
Se3 0.250 0.577 0.590 1

=====

> Look up the mass density of the second one.

6.1 g/cm3

=====

> Which of these has the highest DOS at the Fermi energy?

Pr2Dy2Se5

=====

> Which value of ΔE_f (raw) does entry 2 give?

-1.649 eV per atom